Compound: ZnAg2Hg
Source: Alexandria
Functional: GGA-PBE
Structure: relaxed

Cell lengths 4.4054, 4.4054, 14.5189 Å; angles 90.00, 90.00, 120.00 degrees
Space group R3m (No. 160, hexagonal axes)
Unique sites:
Zn: 0.0000 0.0000 0.0000 [3 per cell]
Ag: 0.0000 0.0000 0.4073 [3 per cell]
Ag: 0.0000 0.0000 0.6187 [3 per cell]
Hg: 0.0000 0.0000 0.1883 [3 per cell]

Output
Formation energy   0.1109 eV per atom
Electronic total energy   -1.709 eV per atom
N(E_F)   0.318 states/eV/atom

Compound: ZnAgHg
Source: Alexandria
Functional: GGA-PBE
Structure: relaxed

Cell lengths 4.6363, 4.6363, 3.0413 Å; angles 90.00, 90.00, 120.00 degrees
Space group P3m1 (No. 156)
Unique sites:
Zn: 0.0000 0.0000 0.0000 [1 per cell]
Ag: 0.6667 0.3333 0.3745 [1 per cell]
Hg: 0.3333 0.6667 0.8362 [1 per cell]

Output
Formation energy   0.1014 eV per atom
Electronic total energy   -1.374 eV per atom
N(E_F)   0.298 states/eV/atom

Compound: ZnAg2Hg
Source: Alexandria
Functional: GGA-PBE
Structure: relaxed

Cell lengths 3.0225, 3.0225, 9.3671 Å; angles 90.00, 90.00, 120.00 degrees
Space group P-3m1 (No. 164)
Unique sites:
Zn: 0.0000 0.0000 0.0000 [1 per cell]
Ag: 0.3333 0.6667 0.2281 [2 per cell]
Hg: 0.0000 0.0000 0.5000 [1 per cell]

Output
Formation energy   0.0452 eV per atom
Electronic total energy   -1.774 eV per atom
N(E_F)   0.230 states/eV/atom

Compound: ZnAg2Hg
Source: Alexandria
Functional: GGA-PBE
Structure: relaxed

Cell lengths 10.020, 3.147, 4.874 Å; angles 90.00, 108.06, 90.00 degrees
Space group Cm (No. 8)
Unique sites:
Zn: 0.000 0.000 0.000 [2 per cell]
Ag: 0.009 0.500 0.515 [2 per cell]
Ag: 0.269 0.000 0.760 [2 per cell]
Hg: 0.243 0.500 0.242 [2 per cell]

Output
Formation energy   0.0513 eV per atom
Electronic total energy   -1.768 eV per atom
N(E_F)   0.156 states/eV/atom

Compound: ZnAg2Hg
Source: Alexandria
Functional: GGA-PBE
Structure: relaxed

Cell lengths 4.684, 4.684, 3.348 Å; angles 90.00, 90.00, 90.00 degrees
Space group P4/mmm (No. 123)
Unique sites:
Zn: 0.000 0.000 0.000 [1 per cell]
Ag: 0.000 0.500 0.500 [2 per cell]
Hg: 0.500 0.500 0.000 [1 per cell]

Output
Formation energy   0.0809 eV per atom
Electronic total energy   -1.739 eV per atom
N(E_F)   0.300 states/eV/atom

Compound: Zn2Ag2Hg
Source: Alexandria
Functional: GGA-PBE
Structure: relaxed

Cell lengths 3.684, 3.684, 13.936 Å; angles 90.00, 90.00, 90.00 degrees
Space group I4/mmm (No. 139)
Unique sites:
Zn: 0.000 0.500 0.250 [4 per cell]
Ag: 0.000 0.000 0.105 [4 per cell]
Hg: 0.000 0.000 0.500 [2 per cell]

Output
Formation energy   0.0768 eV per atom
Electronic total energy   -1.634 eV per atom
N(E_F)   0.328 states/eV/atom

Compound: ZnAg2Hg
Source: Alexandria
Functional: GGA-PBE
Structure: relaxed

Cell lengths 9.825, 2.929, 5.351 Å; angles 90.00, 104.88, 90.00 degrees
Space group C2/m (No. 12)
Unique sites:
Zn: 0.000 0.000 0.000 [2 per cell]
Ag: 0.236 0.500 0.234 [4 per cell]
Hg: 0.000 0.500 0.500 [2 per cell]

Output
Formation energy   0.0462 eV per atom
Electronic total energy   -1.773 eV per atom
N(E_F)   0.253 states/eV/atom

Compound: ZnAgHg
Source: Alexandria
Functional: GGA-PBE
Structure: relaxed

Cell lengths 3.258, 3.679, 5.246 Å; angles 109.61, 107.96, 90.57 degrees
Space group P1 (No. 1)
Unique sites:
Zn: 0.000 0.000 0.000 [1 per cell]
Ag: 0.356 0.357 0.711 [1 per cell]
Hg: 0.672 0.675 0.343 [1 per cell]

Output
Formation energy   0.0684 eV per atom
Electronic total energy   -1.407 eV per atom
N(E_F)   0.259 states/eV/atom

Compound: Zn2Ag2Hg
Source: Alexandria
Functional: GGA-PBE
Structure: relaxed

Cell lengths 7.647, 7.647, 3.113 Å; angles 90.00, 90.00, 90.00 degrees
Space group P4/mbm (No. 127)
Unique sites:
Zn: 0.160 0.340 0.000 [4 per cell]
Ag: 0.137 0.637 0.500 [4 per cell]
Hg: 0.000 0.000 0.500 [2 per cell]

Output
Formation energy   0.0576 eV per atom
Electronic total energy   -1.653 eV per atom
N(E_F)   0.248 states/eV/atom

Compound: ZnAg2Hg
Source: Alexandria
Functional: GGA-PBE
Structure: relaxed

Cell lengths 5.911, 8.365, 2.984 Å; angles 90.00, 90.00, 90.00 degrees
Space group Cmmm (No. 65)
Unique sites:
Zn: 0.000 0.000 0.000 [2 per cell]
Ag: 0.250 0.250 0.500 [4 per cell]
Hg: 0.000 0.500 0.000 [2 per cell]

Output
Formation energy   0.0766 eV per atom
Electronic total energy   -1.743 eV per atom
N(E_F)   0.320 states/eV/atom

Compound: ZnAg2Hg
Source: Alexandria
Functional: GGA-PBE
Structure: relaxed

Cell lengths 5.675, 9.316, 2.957 Å; angles 90.00, 109.24, 90.00 degrees
Space group C2/m (No. 12)
Unique sites:
Zn: 0.000 0.000 0.000 [2 per cell]
Ag: 0.250 0.250 0.500 [4 per cell]
Hg: 0.000 0.500 0.000 [2 per cell]

Output
Formation energy   0.0812 eV per atom
Electronic total energy   -1.738 eV per atom
N(E_F)   0.187 states/eV/atom

Compound: ZnAg5Hg
Source: Alexandria
Functional: GGA-PBE
Structure: relaxed

Cell lengths 5.511, 7.209, 7.588 Å; angles 90.00, 90.00, 90.00 degrees
Space group Imm2 (No. 44)
Unique sites:
Zn: 0.000 0.000 0.000 [2 per cell]
Ag: 0.000 0.184 0.322 [4 per cell]
Ag: 0.000 0.500 0.524 [2 per cell]
Ag: 0.241 0.000 0.690 [4 per cell]
Hg: 0.000 0.500 0.877 [2 per cell]

Output
Formation energy   0.2329 eV per atom
Electronic total energy   -2.029 eV per atom
N(E_F)   0.294 states/eV/atom

Compound: ZnAg12Hg3
Source: Alexandria
Functional: GGA-PBE
Structure: relaxed

Cell lengths 4.288, 4.288, 16.038 Å; angles 90.00, 90.00, 90.00 degrees
Space group P4/mmm (No. 123)
Unique sites:
Zn: 0.000 0.000 0.000 [1 per cell]
Ag: 0.000 0.500 0.116 [4 per cell]
Ag: 0.000 0.500 0.372 [4 per cell]
Ag: 0.500 0.500 0.000 [1 per cell]
Ag: 0.500 0.500 0.244 [2 per cell]
Ag: 0.500 0.500 0.500 [1 per cell]
Hg: 0.000 0.000 0.244 [2 per cell]
Hg: 0.000 0.000 0.500 [1 per cell]

Output
Formation energy   0.0318 eV per atom
Electronic total energy   -2.243 eV per atom
N(E_F)   0.249 states/eV/atom